## LiZrSi2 (PBE-GGA)

Data for a geometry-optimized LiZrSi2 structure.

Cell and atoms, written as POSCAR:
```
LiZrSi2
1.0
4.985 0.006 -0.001
2.019 4.558 0.001
-3.501 -2.284 2.716
Li Si Zr
1 2 1
direct
0.250 0.750 0.500
0.000 0.000 0.000
0.500 0.500 0.000
0.750 0.250 0.500
```

Output
- uncorrected formation energy (eV per atom) = -0.357
- total moment (μB per formula unit) = 0.00
- symmetry = I4/mmm (139)
- D(E_F) (states/eV/cell) = 2.14